Ga8BIr4 | GGA-PBE | optimized geometry

a = 8.6211 Å, b = 8.6211 Å, c = 21.2641 Å
α = 90.00°, β = 90.00°, γ = 90.00°
Space group I4_1/acd (No. 142, origin choice 2)
Symmetry-distinct sites (fractional):
Ga  0.0616  0.0357  0.3119 [32 per cell]
Ga  0.0645  0.0343  0.4409 [32 per cell]
B  0.0000  0.2500  0.1250 [8 per cell]
Ir  0.0000  0.2500  0.0231 [16 per cell]
Ir  0.1759  0.0741  0.6250 [16 per cell]

Summary:
DOS at the Fermi energy in states/eV/f.u.: 4.182
ΔH_f (0 K) in meV per atom: -435

---

GaB2Ir4 | GGA-PBE | optimized geometry

a = 4.5082 Å, b = 4.5082 Å, c = 10.5921 Å
α = 90.00°, β = 90.00°, γ = 90.00°
Space group I4/mmm (No. 139)
Symmetry-distinct sites (fractional):
Ga  0.0000  0.0000  0.0000 [2 per cell]
B  0.0000  0.0000  0.4206 [4 per cell]
Ir  0.0000  0.0000  0.2391 [4 per cell]
Ir  0.0000  0.5000  0.0000 [4 per cell]

Summary:
DOS at the Fermi energy in states/eV/f.u.: 7.438
Energy relative to the lowest polymorph listed for this composition in meV/atom: 1107
ΔH_f (0 K) in meV per atom: 1033